1.
Material: KScRe2
Method: DFT, PBE
State: relaxed

Values from the calculation:
Its energy above the most stable polymorph in this dataset is 23.3 kJ/mol of atoms. The formation enthalpy at 0 K comes out at 701 meV/atom. The calculation puts the total energy at -7.38 eV/atom.

Cell: 2.845 2.845 10.849 Å, 90.00 90.00 111.98°
Atoms (fractional coordinates):
Re1 0.500 0.500 0.235
Sc1 0.000 0.000 0.444
Re2 0.000 0.000 0.047
K1 0.500 0.500 0.774

2.
Material: KScRe
Method: DFT, PBE
State: relaxed

Values from the calculation:
Its energy above the most stable polymorph in this dataset is 30.0 kJ/mol of atoms. The formation enthalpy at 0 K comes out at 1088 meV/atom. The calculation puts the total energy at -5.54 eV/atom.

Cell: 5.210 5.210 2.681 Å, 90.00 90.00 120.00°
Each line ends with the local moment (μB).
Atoms (fractional coordinates):
Sc1 0.333 0.667 0.831  0.26
Re1 0.667 0.333 0.333  -0.03
K1 0.000 0.000 0.836  0.00

3.
Material: K2ScRe
Method: DFT, PBE
State: relaxed

Values from the calculation:
Its energy above the most stable polymorph in this dataset is 30.8 kJ/mol of atoms. The formation enthalpy at 0 K comes out at 1030 meV/atom. The calculation puts the total energy at -4.21 eV/atom.

Cell: 7.689 7.689 7.689 Å, 157.30 129.24 56.28°
Each line ends with the local moment (μB).
Atoms (fractional coordinates):
Re1 0.474 0.474 0.000  0.51
Sc1 0.325 0.825 0.500  0.05
K1 0.001 0.001 0.000  0.00
K2 0.700 0.200 0.500  0.01

4.
Material: K2ScRe
Method: DFT, PBE
State: relaxed

Values from the calculation:
Its energy above the most stable polymorph in this dataset is 56.8 kJ/mol of atoms. The formation enthalpy at 0 K comes out at 1299 meV/atom. The calculation puts the total energy at -3.94 eV/atom.

Cell: 6.844 6.844 6.844 Å, 145.07 145.07 50.24°
Atoms (fractional coordinates):
Sc1 0.750 0.250 0.500
K1 0.000 0.000 0.000
Re1 0.250 0.750 0.500
K2 0.500 0.500 0.000

5.
Material: KSc2Re
Method: DFT, PBE
State: relaxed

Values from the calculation:
Its energy above the most stable polymorph in this dataset is 55.8 kJ/mol of atoms. The formation enthalpy at 0 K comes out at 733 meV/atom. The calculation puts the total energy at -5.82 eV/atom.

Cell: 2.964 2.964 11.002 Å, 90.00 90.00 90.00°
Atoms (fractional coordinates):
Sc1 0.000 0.000 0.965
Sc2 0.500 0.500 0.212
Re1 0.500 0.500 0.791
K1 0.000 0.000 0.532

6.
Material: KScRe2
Method: DFT, PBE
State: relaxed

Values from the calculation:
Its energy above the most stable polymorph in this dataset is 16.9 kJ/mol of atoms. The formation enthalpy at 0 K comes out at 635 meV/atom. The calculation puts the total energy at -7.45 eV/atom.

Cell: 4.352 4.352 8.385 Å, 86.34 86.34 42.16°
Each line ends with the local moment (μB).
Atoms (fractional coordinates):
Re1 0.021 0.021 0.894  -0.01
Re2 0.742 0.742 0.792  0.00
Sc1 0.476 0.476 0.608  0.07
K1 0.261 0.261 0.206  0.01

7.
Material: K2ScRe
Method: DFT, PBE
State: relaxed

Values from the calculation:
Its energy above the most stable polymorph in this dataset is 47.1 kJ/mol of atoms. The formation enthalpy at 0 K comes out at 1199 meV/atom. The calculation puts the total energy at -4.04 eV/atom.

Cell: 7.040 7.040 3.002 Å, 78.69 78.69 130.61°
Atoms (fractional coordinates):
Sc1 0.000 0.500 0.500
K1 0.500 0.500 0.000
Re1 0.500 0.000 0.500
K2 0.000 0.000 0.000

8.
Material: K2ScRe
Method: DFT, PBE
State: relaxed

Values from the calculation:
Its energy above the most stable polymorph in this dataset is 1.2 kJ/mol of atoms. The formation enthalpy at 0 K comes out at 723 meV/atom. The calculation puts the total energy at -4.52 eV/atom.

Cell: 3.522 3.524 11.212 Å, 71.96 90.00 90.00°
Atoms (fractional coordinates):
K1 0.500 0.164 0.330
K2 0.000 0.062 0.942
Re1 0.000 0.434 0.566
Sc1 0.500 0.839 0.662

9.
Material: KSc2Re
Method: DFT, PBE
State: relaxed

Values from the calculation:
Its energy above the most stable polymorph in this dataset is 41.2 kJ/mol of atoms. The formation enthalpy at 0 K comes out at 582 meV/atom. The calculation puts the total energy at -5.97 eV/atom.

Cell: 5.020 5.020 7.955 Å, 87.07 87.07 36.04°
Atoms (fractional coordinates):
Sc1 0.258 0.258 0.148
K1 0.492 0.492 0.529
Sc2 0.008 0.008 0.948
Re1 0.742 0.742 0.875

10.
Material: KSc2Re
Method: DFT, PBE
State: relaxed

Values from the calculation:
Its energy above the most stable polymorph in this dataset is 92.3 kJ/mol of atoms. The formation enthalpy at 0 K comes out at 1112 meV/atom. The calculation puts the total energy at -5.44 eV/atom.

Cell: 5.006 5.006 5.006 Å, 60.00 60.00 60.00°
Atoms (fractional coordinates):
Sc1 0.250 0.250 0.250
Re1 0.750 0.750 0.750
K1 0.500 0.500 0.500
Sc2 0.000 0.000 0.000

11.
Material: KScRe2
Method: DFT, PBE
State: relaxed

Values from the calculation:
Its energy above the most stable polymorph in this dataset is 32.7 kJ/mol of atoms. The formation enthalpy at 0 K comes out at 799 meV/atom. The calculation puts the total energy at -7.28 eV/atom.

Cell: 7.393 7.393 7.393 Å, 151.91 142.37 47.61°
Atoms (fractional coordinates):
K1 0.205 0.705 0.500
Sc1 0.467 0.467 0.000
Re1 0.859 0.359 0.500
Re2 0.969 0.969 0.000

12.
Material: K2ScRe
Method: DFT, PBE
State: relaxed

Values from the calculation:
Its energy above the most stable polymorph in this dataset is 53.0 kJ/mol of atoms. The formation enthalpy at 0 K comes out at 1260 meV/atom. The calculation puts the total energy at -3.98 eV/atom.

Cell: 2.905 2.905 12.726 Å, 90.00 90.00 109.74°
Atoms (fractional coordinates):
Re1 0.500 0.500 0.250
K1 0.000 0.000 0.474
K2 0.000 0.000 0.026
Sc1 0.500 0.500 0.750